Computed, not measured: an optimized crystal structure of Sc2Ga2Pt3 at the PBE level of DFT.

DFT formation energy ... -0.8862 eV/atom
Density ... 10.686 Mg/m³
DFT total energy ... -43.043 eV for the cell shown

abc: 4.415 4.420 7.906
angles: 89.92 106.24 119.95
Fractional positions:
Sc1 0.249 0.125 0.373
Sc2 0.751 0.875 0.627
Pt1 0.501 0.751 0.251
Pt2 0.000 0.000 0.000
Pt3 0.499 0.249 0.749
Ga1 0.237 0.618 0.856
Ga2 0.763 0.382 0.144

=====

Computed, not measured: an optimized crystal structure of ScGa2Pt2 at the PBE level of DFT.

DFT formation energy ... -0.8132 eV/atom
Density ... 10.784 Mg/m³
DFT total energy ... -28.533 eV for the cell shown

abc: 3.776 3.776 6.754
angles: 73.77 73.77 90.00
Fractional positions:
Ga1 0.250 0.750 0.500
Ga2 0.750 0.250 0.500
Pt1 0.607 0.607 0.786
Pt2 0.393 0.393 0.214
Sc1 0.000 0.000 0.000

=====

Computed, not measured: an optimized crystal structure of Sc4Ga3Pt at the PBE level of DFT.

DFT formation energy ... -0.7647 eV/atom
Density ... 6.486 Mg/m³
DFT total energy ... -46.565 eV for the cell shown

abc: 3.345 3.345 13.361
angles: 90.00 90.00 90.00
Fractional positions:
Sc1 0.000 0.000 0.119
Sc2 0.000 0.000 0.627
Sc3 0.000 0.000 0.373
Sc4 0.000 0.000 0.881
Ga1 0.500 0.500 0.753
Ga2 0.500 0.500 0.247
Ga3 0.500 0.500 0.500
Pt1 0.500 0.500 0.000

=====

Computed, not measured: an optimized crystal structure of ScGa3Pt at the PBE level of DFT.

DFT formation energy ... -0.0960 eV/atom
Density ... 6.741 Mg/m³
DFT total energy ... -21.933 eV for the cell shown

abc: 4.801 4.801 4.801
angles: 90.00 90.00 90.00
Fractional positions:
Pt1 0.000 0.000 0.000
Ga1 0.000 0.000 0.500
Ga2 0.500 0.000 0.000
Ga3 0.000 0.500 0.000
Sc1 0.500 0.500 0.500

=====

Computed, not measured: an optimized crystal structure of ScGa3Pt2 at the PBE level of DFT.

DFT formation energy ... -0.7145 eV/atom
Density ... 10.108 Mg/m³
DFT total energy ... -95.343 eV for the cell shown

abc: 3.930 8.692 9.777
angles: 102.23 90.00 103.06
Fractional positions:
Ga1 0.950 0.900 0.640
Ga2 0.364 0.728 0.812
Ga3 0.647 0.295 0.928
Ga4 0.500 0.000 0.500
Ga5 0.050 0.100 0.360
Ga6 0.774 0.549 0.634
Ga7 0.636 0.272 0.188
Ga8 0.353 0.705 0.072
Ga9 0.226 0.451 0.366
Pt1 0.209 0.418 0.094
Pt2 0.511 0.023 0.784
Pt3 0.791 0.582 0.906
Pt4 0.645 0.290 0.458
Pt5 0.489 0.977 0.216
Pt6 0.355 0.710 0.542
Sc1 0.859 0.717 0.311
Sc2 0.000 0.000 0.000
Sc3 0.141 0.283 0.689

=====

Computed, not measured: an optimized crystal structure of Sc2Ga9Pt3 at the PBE level of DFT.

DFT formation energy ... -0.5955 eV/atom
Density ... 9.184 Mg/m³
DFT total energy ... -132.729 eV for the cell shown

abc: 7.594 7.594 10.401
angles: 89.82 111.73 119.82
Fractional positions:
Ga1 0.123 0.873 0.250
Ga2 0.445 0.799 0.419
Ga3 0.564 0.369 0.085
Ga4 0.216 0.520 0.585
Ga5 0.458 0.917 0.749
Ga6 0.555 0.201 0.581
Ga7 0.784 0.480 0.415
Ga8 0.775 0.311 0.914
Ga9 0.897 0.861 0.586
Ga10 0.225 0.689 0.086
Ga11 0.120 0.974 0.919
Ga12 0.333 0.291 0.249
Ga13 0.880 0.026 0.081
Ga14 0.667 0.709 0.751
Ga15 0.103 0.139 0.414
Ga16 0.877 0.127 0.750
Ga17 0.436 0.631 0.915
Ga18 0.542 0.083 0.251
Pt1 0.837 0.167 0.500
Pt2 0.500 0.000 0.000
Pt3 0.832 0.662 0.000
Pt4 0.168 0.338 0.000
Pt5 0.500 0.500 0.500
Pt6 0.163 0.833 0.500
Sc1 0.999 0.583 0.751
Sc2 0.668 0.752 0.251
Sc3 0.001 0.417 0.249
Sc4 0.332 0.248 0.749

=====

Computed, not measured: an optimized crystal structure of Sc2Ga2Pt at the PBE level of DFT.

DFT formation energy ... -0.7887 eV/atom
Density ... 7.614 Mg/m³
DFT total energy ... -28.701 eV for the cell shown

abc: 4.129 5.378 5.378
angles: 59.82 67.43 67.43
Fractional positions:
Sc1 0.796 0.704 0.704
Sc2 0.204 0.296 0.296
Ga1 0.500 0.730 0.270
Ga2 0.500 0.270 0.730
Pt1 0.000 0.000 0.000

=====

Computed, not measured: an optimized crystal structure of ScGa2Pt5 at the PBE level of DFT.

DFT formation energy ... -0.7459 eV/atom
Density ... 15.106 Mg/m³
DFT total energy ... -97.113 eV for the cell shown

abc: 4.011 5.579 11.395
angles: 90.00 90.00 90.00
Fractional positions:
Ga1 0.500 0.209 0.861
Ga2 0.500 0.291 0.361
Ga3 0.500 0.791 0.139
Ga4 0.500 0.709 0.639
Pt1 0.000 0.463 0.764
Pt2 0.500 0.242 0.619
Pt3 0.000 0.000 0.000
Pt4 0.500 0.258 0.119
Pt5 0.000 0.963 0.736
Pt6 0.000 0.037 0.264
Pt7 0.000 0.537 0.236
Pt8 0.000 0.500 0.500
Pt9 0.500 0.742 0.881
Pt10 0.500 0.758 0.381
Sc1 0.000 0.500 0.000
Sc2 0.000 0.000 0.500

=====

Computed, not measured: an optimized crystal structure of Sc4Ga6Pt7 at the PBE level of DFT.

DFT formation energy ... -1.0174 eV/atom
Density ... 11.425 Mg/m³
DFT total energy ... -103.069 eV for the cell shown

abc: 7.184 7.184 7.184
angles: 109.47 109.47 109.47
Fractional positions:
Pt1 0.250 0.750 0.500
Pt2 0.750 0.500 0.250
Pt3 0.250 0.500 0.750
Pt4 0.750 0.250 0.500
Pt5 0.000 0.000 0.000
Pt6 0.500 0.250 0.750
Pt7 0.500 0.750 0.250
Ga1 0.690 0.000 0.690
Ga2 0.310 0.310 0.000
Ga3 0.310 0.000 0.310
Ga4 0.000 0.690 0.690
Ga5 0.690 0.690 0.000
Ga6 0.000 0.310 0.310
Sc1 0.500 0.000 0.000
Sc2 0.000 0.000 0.500
Sc3 0.000 0.500 0.000
Sc4 0.500 0.500 0.500

=====

Computed, not measured: an optimized crystal structure of Sc2GaPt at the PBE level of DFT.

DFT formation energy ... -0.3366 eV/atom
Density ... 6.053 Mg/m³
DFT total energy ... -23.077 eV for the cell shown

abc: 9.368 9.368 9.368
angles: 21.57 21.57 21.57
Fractional positions:
Ga1 0.000 0.000 0.000
Sc1 0.104 0.104 0.104
Sc2 0.896 0.896 0.896
Pt1 0.500 0.500 0.500

=====

Computed, not measured: an optimized crystal structure of ScGa2Pt2 at the PBE level of DFT.

DFT formation energy ... -0.7446 eV/atom
Density ... 10.861 Mg/m³
DFT total energy ... -28.190 eV for the cell shown

abc: 4.044 4.044 6.086
angles: 70.60 70.60 90.00
Fractional positions:
Ga1 0.388 0.388 0.223
Ga2 0.612 0.612 0.777
Sc1 0.000 0.000 0.000
Pt1 0.250 0.750 0.500
Pt2 0.750 0.250 0.500

=====

Computed, not measured: an optimized crystal structure of ScGa2Pt at the PBE level of DFT.

DFT formation energy ... -0.5580 eV/atom
Density ... 8.333 Mg/m³
DFT total energy ... -41.316 eV for the cell shown

abc: 7.410 7.410 5.919
angles: 51.25 51.25 90.00
Fractional positions:
Ga1 0.088 0.625 0.250
Ga2 0.375 0.338 0.750
Ga3 0.875 0.912 0.750
Ga4 0.662 0.125 0.250
Pt1 0.000 0.000 0.000
Pt2 0.750 0.250 0.500
Sc1 0.500 0.500 0.000
Sc2 0.250 0.750 0.500

=====

Computed, not measured: an optimized crystal structure of Sc2GaPt at the PBE level of DFT.

DFT formation energy ... -0.4760 eV/atom
Density ... 7.030 Mg/m³
DFT total energy ... -47.270 eV for the cell shown

abc: 7.348 7.348 6.052
angles: 52.62 52.62 90.00
Fractional positions:
Sc1 0.100 0.625 0.250
Sc2 0.375 0.350 0.750
Sc3 0.650 0.125 0.250
Sc4 0.875 0.900 0.750
Ga1 0.250 0.750 0.500
Ga2 0.500 0.500 0.000
Pt1 0.750 0.250 0.500
Pt2 0.000 0.000 0.000

=====

Computed, not measured: an optimized crystal structure of ScGa3Pt at the PBE level of DFT.

DFT formation energy ... -0.5312 eV/atom
Density ... 8.398 Mg/m³
DFT total energy ... -96.436 eV for the cell shown

abc: 5.459 6.985 9.317
angles: 90.00 90.00 90.00
Fractional positions:
Pt1 0.000 0.500 0.500
Pt2 0.500 0.000 0.500
Pt3 0.000 0.500 0.000
Pt4 0.500 0.000 0.000
Ga1 0.442 0.649 0.572
Ga2 0.942 0.851 0.072
Ga3 0.558 0.351 0.072
Ga4 0.332 0.952 0.750
Ga5 0.168 0.452 0.750
Ga6 0.442 0.649 0.928
Ga7 0.832 0.548 0.250
Ga8 0.558 0.351 0.428
Ga9 0.058 0.149 0.928
Ga10 0.058 0.149 0.572
Ga11 0.668 0.048 0.250
Ga12 0.942 0.851 0.428
Sc1 0.163 0.189 0.250
Sc2 0.837 0.811 0.750
Sc3 0.337 0.689 0.250
Sc4 0.663 0.311 0.750

=====

Computed, not measured: an optimized crystal structure of Sc11Ga9Pt4 at the PBE level of DFT.

DFT formation energy ... -0.8440 eV/atom
Density ... 7.008 Mg/m³
DFT total energy ... -141.309 eV for the cell shown

abc: 3.325 12.138 12.138
angles: 113.05 90.00 90.00
Fractional positions:
Sc1 0.000 0.409 0.060
Sc2 0.000 0.591 0.940
Sc3 0.000 0.704 0.704
Sc4 0.000 0.296 0.296
Sc5 0.000 0.633 0.367
Sc6 0.000 0.940 0.591
Sc7 0.000 0.162 0.838
Sc8 0.000 0.000 0.000
Sc9 0.000 0.060 0.409
Sc10 0.000 0.838 0.162
Sc11 0.000 0.367 0.633
Ga1 0.500 0.066 0.212
Ga2 0.500 0.788 0.934
Ga3 0.500 0.633 0.158
Ga4 0.500 0.158 0.633
Ga5 0.500 0.367 0.842
Ga6 0.500 0.842 0.367
Ga7 0.500 0.500 0.500
Ga8 0.500 0.934 0.788
Ga9 0.500 0.212 0.066
Pt1 0.500 0.446 0.242
Pt2 0.500 0.242 0.446
Pt3 0.500 0.554 0.758
Pt4 0.500 0.758 0.554

=====

Computed, not measured: an optimized crystal structure of Sc2Ga2Pt at the PBE level of DFT.

DFT formation energy ... -0.8623 eV/atom
Density ... 7.798 Mg/m³
DFT total energy ... -58.138 eV for the cell shown

abc: 6.686 6.686 4.043
angles: 90.00 90.00 90.00
Fractional positions:
Ga1 0.866 0.634 0.000
Ga2 0.134 0.366 0.000
Ga3 0.366 0.866 0.000
Ga4 0.634 0.134 0.000
Sc1 0.670 0.830 0.500
Sc2 0.330 0.170 0.500
Sc3 0.170 0.670 0.500
Sc4 0.830 0.330 0.500
Pt1 0.000 0.000 0.000
Pt2 0.500 0.500 0.000

=====

Computed, not measured: an optimized crystal structure of ScGa2Pt at the PBE level of DFT.

DFT formation energy ... -0.7096 eV/atom
Density ... 9.040 Mg/m³
DFT total energy ... -21.265 eV for the cell shown

abc: 4.247 4.247 5.092
angles: 65.35 65.35 60.00
Fractional positions:
Ga1 0.229 0.229 0.313
Ga2 0.771 0.771 0.687
Pt1 0.500 0.500 0.500
Sc1 0.000 0.000 0.000

=====

Computed, not measured: an optimized crystal structure of ScGaPt3 at the PBE level of DFT.

DFT formation energy ... -0.1291 eV/atom
Density ... 11.693 Mg/m³
DFT total energy ... -28.126 eV for the cell shown

abc: 4.632 4.632 4.632
angles: 90.00 90.00 90.00
Fractional positions:
Pt1 0.000 0.000 0.500
Pt2 0.000 0.500 0.000
Pt3 0.500 0.000 0.000
Ga1 0.000 0.000 0.000
Sc1 0.500 0.500 0.500

=====

Computed, not measured: an optimized crystal structure of Sc2GaPt2 at the PBE level of DFT.

DFT formation energy ... -0.7170 eV/atom
Density ... 8.463 Mg/m³
DFT total energy ... -31.356 eV for the cell shown

abc: 4.537 4.537 6.145
angles: 68.34 68.34 90.00
Fractional positions:
Sc1 0.750 0.250 0.500
Sc2 0.250 0.750 0.500
Pt1 0.379 0.379 0.242
Pt2 0.621 0.621 0.758
Ga1 0.000 0.000 0.000

=====

Computed, not measured: an optimized crystal structure of ScGa3Pt at the PBE level of DFT.

DFT formation energy ... 0.9247 eV/atom
Density ... 5.841 Mg/m³
DFT total energy ... -16.830 eV for the cell shown

abc: 5.036 5.036 5.036
angles: 90.00 90.00 90.00
Fractional positions:
Ga1 0.000 0.500 0.000
Ga2 0.000 0.000 0.500
Ga3 0.500 0.000 0.000
Pt1 0.500 0.500 0.500
Sc1 0.000 0.000 0.000